# InAg2Te GGA-PBEsol relaxed
data_InAg2Te
_chemical_formula_sum 'In1 Ag2 Te1'
_space_group_name_H-M_alt 'P 4 m m'
_space_group_IT_number 99
_cell_length_a 3.9069
_cell_length_b 3.9069
_cell_length_c 5.7081
_cell_angle_alpha 90.00
_cell_angle_beta 90.00
_cell_angle_gamma 90.00
loop_
_space_group_symop_operation_xyz
'x,y,z'
'-y,x,z'
'-x,-y,z'
'y,-x,z'
'-x,y,z'
'y,x,z'
'x,-y,z'
'-y,-x,z'
loop_
_atom_site_label
_atom_site_type_symbol
_atom_site_fract_x
_atom_site_fract_y
_atom_site_fract_z
_atom_site_occupancy
In1 In 0.0000 0.0000 0.0000 1
Ag1 Ag 0.0000 0.0000 0.5205 1
Ag2 Ag 0.5000 0.5000 0.7540 1
Te1 Te 0.5000 0.5000 0.2672 1
# Total magnetic moment ... 0.00 μB per formula unit
# DOS at the Fermi energy ... 1.3 states/eV/cell
# Energy ... -3.2230 eV per atom
# Formation energy from raw total energies ... 0.06 eV/atom
# V ... 21.8 Å³/atom